# HPd2Pt | the Alexandria database | PBE | relaxed
data_HPd2Pt
_chemical_formula_sum 'H1 Pd2 Pt1'
_cell_length_a 2.7122
_cell_length_b 2.7122
_cell_length_c 6.8212
_cell_angle_alpha 90.00
_cell_angle_beta 90.00
_cell_angle_gamma 90.00
_symmetry_space_group_name_H-M 'P 1'
_symmetry_Int_Tables_number 1
loop_
_symmetry_equiv_pos_as_xyz
'x,y,z'
loop_
_atom_site_label
_atom_site_type_symbol
_atom_site_fract_x
_atom_site_fract_y
_atom_site_fract_z
H1 H 0.0000 0.0000 0.0000
Pd1 Pd 0.5000 0.5000 0.1938
Pd2 Pd 0.5000 0.5000 0.8062
Pt1 Pt 0.0000 0.0000 0.5000
# Energy relative to the lowest polymorph listed for this composition in eV per atom: 0.2302
# Space-group type: P4/mmm
# Magnetic moment in Bohr magnetons per cell: 0.0


# H6Pd2Pt | the Alexandria database | PBE | relaxed
data_H6Pd2Pt
_chemical_formula_sum 'H12 Pd4 Pt2'
_cell_length_a 4.9344
_cell_length_b 4.0277
_cell_length_c 9.1221
_cell_angle_alpha 90.00
_cell_angle_beta 122.67
_cell_angle_gamma 90.00
_symmetry_space_group_name_H-M 'P 1'
_symmetry_Int_Tables_number 1
loop_
_symmetry_equiv_pos_as_xyz
'x,y,z'
loop_
_atom_site_label
_atom_site_type_symbol
_atom_site_fract_x
_atom_site_fract_y
_atom_site_fract_z
H1 H 0.0251 0.2454 0.3462
H2 H 0.0251 0.2546 0.8462
H3 H 0.3220 0.7039 0.0006
H4 H 0.3220 0.7961 0.5006
H5 H 0.3315 0.2475 0.6530
H6 H 0.3315 0.2525 0.1530
H7 H 0.6685 0.7475 0.8470
H8 H 0.6685 0.7525 0.3470
H9 H 0.6780 0.2039 0.4994
H10 H 0.6780 0.2961 0.9994
H11 H 0.9749 0.7454 0.1538
H12 H 0.9749 0.7546 0.6538
Pd1 Pd 0.3089 0.5012 0.8083
Pd2 Pd 0.3089 0.9988 0.3083
Pd3 Pd 0.6911 0.0012 0.6917
Pd4 Pd 0.6911 0.4988 0.1917
Pt1 Pt 0.0000 0.0000 0.5000
Pt2 Pt 0.0000 0.5000 0.0000
# Space-group type: P2_1/c
# Magnetic moment in Bohr magnetons per cell: 0.0
# Energy in eV per atom: -4.061


# H6Pd5Pt | the Alexandria database | PBE | relaxed
data_H6Pd5Pt
_chemical_formula_sum 'H6 Pd5 Pt1'
_cell_length_a 5.0501
_cell_length_b 5.0501
_cell_length_c 5.1633
_cell_angle_alpha 100.48
_cell_angle_beta 100.48
_cell_angle_gamma 118.79
_symmetry_space_group_name_H-M 'P 1'
_symmetry_Int_Tables_number 1
loop_
_symmetry_equiv_pos_as_xyz
'x,y,z'
loop_
_atom_site_label
_atom_site_type_symbol
_atom_site_fract_x
_atom_site_fract_y
_atom_site_fract_z
H1 H 0.0757 0.3765 0.2670
H2 H 0.2556 0.2556 0.8133
H3 H 0.3765 0.0757 0.2670
H4 H 0.6235 0.9243 0.7330
H5 H 0.7444 0.7444 0.1867
H6 H 0.9243 0.6235 0.7330
Pd1 Pd 0.1683 0.8317 0.5000
Pd2 Pd 0.3340 0.6660 0.0000
Pd3 Pd 0.5000 0.5000 0.5000
Pd4 Pd 0.6660 0.3340 0.0000
Pd5 Pd 0.8317 0.1683 0.5000
Pt1 Pt 0.0000 0.0000 0.0000
# Energy relative to the lowest polymorph listed for this composition in eV per atom: 0.0076
# Space-group type: C2/m
# Magnetic moment in Bohr magnetons per cell: 0.0


# H3Pd6Pt | the Alexandria database | PBE | relaxed
data_H3Pd6Pt
_chemical_formula_sum 'H6 Pd12 Pt2'
_cell_length_a 2.8378
_cell_length_b 7.5128
_cell_length_c 11.2677
_cell_angle_alpha 82.75
_cell_angle_beta 82.78
_cell_angle_gamma 79.35
_symmetry_space_group_name_H-M 'P 1'
_symmetry_Int_Tables_number 1
loop_
_symmetry_equiv_pos_as_xyz
'x,y,z'
loop_
_atom_site_label
_atom_site_type_symbol
_atom_site_fract_x
_atom_site_fract_y
_atom_site_fract_z
H1 H 0.0201 0.0573 0.4035
H2 H 0.2654 0.3604 0.5962
H3 H 0.3815 0.5655 0.1884
H4 H 0.6185 0.4345 0.8116
H5 H 0.7346 0.6396 0.4038
H6 H 0.9799 0.9427 0.5965
Pd1 Pd 0.0325 0.6044 0.8261
Pd2 Pd 0.1090 0.8165 0.4658
Pd3 Pd 0.2495 0.2442 0.7547
Pd4 Pd 0.3237 0.4654 0.3902
Pd5 Pd 0.3929 0.6822 0.0326
Pd6 Pd 0.4577 0.8873 0.6944
Pd7 Pd 0.5423 0.1127 0.3056
Pd8 Pd 0.6071 0.3178 0.9674
Pd9 Pd 0.6763 0.5346 0.6098
Pd10 Pd 0.7505 0.7558 0.2453
Pd11 Pd 0.8910 0.1835 0.5342
Pd12 Pd 0.9675 0.3956 0.1739
Pt1 Pt 0.1815 0.0368 0.1013
Pt2 Pt 0.8185 0.9632 0.8987
# Space-group type: P-1
# Magnetic moment in Bohr magnetons per cell: 0.0
# Energy in eV per atom: -4.785


Question: magnetic moment of number 1 (HPd2Pt)?
Answer: 0.0 Bohr magnetons per cell


Please write out number 4 again, unchanged.
# H3Pd6Pt | the Alexandria database | PBE | relaxed
data_H3Pd6Pt
_chemical_formula_sum 'H6 Pd12 Pt2'
_cell_length_a 2.8378
_cell_length_b 7.5128
_cell_length_c 11.2677
_cell_angle_alpha 82.75
_cell_angle_beta 82.78
_cell_angle_gamma 79.35
_symmetry_space_group_name_H-M 'P 1'
_symmetry_Int_Tables_number 1
loop_
_symmetry_equiv_pos_as_xyz
'x,y,z'
loop_
_atom_site_label
_atom_site_type_symbol
_atom_site_fract_x
_atom_site_fract_y
_atom_site_fract_z
H1 H 0.0201 0.0573 0.4035
H2 H 0.2654 0.3604 0.5962
H3 H 0.3815 0.5655 0.1884
H4 H 0.6185 0.4345 0.8116
H5 H 0.7346 0.6396 0.4038
H6 H 0.9799 0.9427 0.5965
Pd1 Pd 0.0325 0.6044 0.8261
Pd2 Pd 0.1090 0.8165 0.4658
Pd3 Pd 0.2495 0.2442 0.7547
Pd4 Pd 0.3237 0.4654 0.3902
Pd5 Pd 0.3929 0.6822 0.0326
Pd6 Pd 0.4577 0.8873 0.6944
Pd7 Pd 0.5423 0.1127 0.3056
Pd8 Pd 0.6071 0.3178 0.9674
Pd9 Pd 0.6763 0.5346 0.6098
Pd10 Pd 0.7505 0.7558 0.2453
Pd11 Pd 0.8910 0.1835 0.5342
Pd12 Pd 0.9675 0.3956 0.1739
Pt1 Pt 0.1815 0.0368 0.1013
Pt2 Pt 0.8185 0.9632 0.8987
# Space-group type: P-1
# Magnetic moment in Bohr magnetons per cell: 0.0
# Energy in eV per atom: -4.785